Material: AgHgAu2
Method: DFT, GGA-PBEsol
State: relaxed

Lattice parameters (Å, degrees): 9.7147 2.9113 5.0677 90.00 99.38 90.00
Last column: nearest neighbours and their distance in Å.
Space group C2/m (No. 12)
Symmetry-distinct sites (fractional):
Ag: 0.0000 0.0000 0.0000  6 Au 2.90-2.93, 2 Ag 2.91, 4 Hg 2.92
Hg: 0.0000 0.5000 0.5000  6 Au 2.90-2.97, 2 Hg 2.91, 4 Ag 2.92
Au: 0.2461 0.5000 0.2434  6 Au 2.88-2.97, 3 Ag 2.90-2.93, 3 Hg 2.90-2.97

Values from the calculation:
**ρ**: 16.50 Mg/m³
**ΔE_f**: 0.0019 eV/atom
**DFT total energy**: -0.10766 Ha/atom
**Size of the total moment**: 0.0000 μB per atom

***

Material: AgHgAu2
Method: DFT, GGA-PBEsol
State: relaxed

Lattice parameters (Å, degrees): 4.1116 4.1116 8.3379 90.00 90.00 90.00
Last column: nearest neighbours and their distance in Å.
Space group I4/mmm (No. 139)
Symmetry-distinct sites (fractional):
Ag: 0.0000 0.0000 0.0000  4 Hg 2.91, 8 Au 2.93
Hg: 0.0000 0.0000 0.5000  4 Ag 2.91, 8 Au 2.93
Au: 0.0000 0.5000 0.2500  4 Au 2.91, 4 Hg 2.93, 4 Ag 2.93

Values from the calculation:
**ρ**: 16.55 Mg/m³
**ΔE_f**: -0.0130 eV/atom
**DFT total energy**: -0.10821 Ha/atom
**Size of the total moment**: 0.0000 μB per atom

***

Material: Ag2HgAu
Method: DFT, GGA-PBEsol
State: relaxed

Lattice parameters (Å, degrees): 9.5600 2.9865 5.0359 90.00 101.18 90.00
Last column: nearest neighbours and their distance in Å.
Space group C2/m (No. 12)
Symmetry-distinct sites (fractional):
Ag: 0.2474 0.0000 0.2452  3 Au 2.87-2.92, 6 Ag 2.89-2.99, 3 Hg 2.90-2.92
Hg: 0.0000 0.0000 0.5000  6 Ag 2.90-2.92, 4 Au 2.93, 2 Hg 2.99
Au: 0.0000 0.5000 0.0000  6 Ag 2.87-2.92, 4 Hg 2.93, 2 Au 2.99

Values from the calculation:
**ρ**: 14.44 Mg/m³
**ΔE_f**: -0.0024 eV/atom
**DFT total energy**: -0.10219 Ha/atom
**Size of the total moment**: 0.0000 μB per atom

***

Which value of ΔE_f does entry 3 give?
-0.0024 eV/atom